Density functional theory data (PBE) for CaAl2InGe after structural relaxation.

Results
Calculated density, g/cm³: 3.110
SG: P4/mmm
Total energy, eV per atom: -2.729
Calculated formation energy, meV/atom: 639.7
Total magnetic moment, μB per formula unit: 0.0

```
data_CaAl2InGe
_chemical_formula_sum 'Ca1 Al2 In1 Ge1'
_symmetry_space_group_name_H-M 'P 1'
_symmetry_Int_Tables_number 1
_cell_length_a 5.115
_cell_length_b 5.746
_cell_length_c 5.115
_cell_angle_alpha 90.00
_cell_angle_beta 90.00
_cell_angle_gamma 90.00
loop_
_symmetry_equiv_pos_as_xyz
'x,y,z'
loop_
_atom_site_label
_atom_site_type_symbol
_atom_site_fract_x
_atom_site_fract_y
_atom_site_fract_z
Ge1 Ge 0.500 0.500 0.500
Al1 Al 0.000 0.000 0.500
In1 In 0.000 0.000 0.000
Al2 Al 0.500 0.000 0.000
Ca1 Ca 0.000 0.500 0.000
```